No. 1
The following is a DFT calculation (GGA-PBE) of a relaxed structure of ZrSc2Re.

a = 5.651 Å, b = 5.651 Å, c = 2.922 Å
α = 98.94°, β = 98.94°, γ = 118.10°
Atoms (fractional coordinates):
Zr 0.000 0.000 0.000
Sc 0.000 0.500 0.500
Sc 0.500 0.000 0.500
Re 0.500 0.500 0.000

Output
- Distance to the lowest polymorph of the same formula: 77 kJ/mol of formula units
- Total moment: 0.00 μB per cell

No. 2
The following is a DFT calculation (GGA-PBE) of a relaxed structure of ZrSc2Re.

a = 5.606 Å, b = 5.606 Å, c = 5.606 Å
α = 137.48°, β = 137.48°, γ = 61.70°
Atoms (fractional coordinates):
Zr 0.000 0.000 0.000
Sc 0.250 0.750 0.500
Sc 0.750 0.250 0.500
Re 0.500 0.500 0.000

Output
- Distance to the lowest polymorph of the same formula: 65 kJ/mol of formula units
- Total moment: 0.00 μB per cell

No. 3
The following is a DFT calculation (GGA-PBE) of a relaxed structure of Zr2Sc2Re.

a = 6.768 Å, b = 6.768 Å, c = 4.966 Å
α = 90.00°, β = 90.00°, γ = 90.00°
Atoms (fractional coordinates):
Zr 0.149 0.351 0.000
Zr 0.351 0.851 0.000
Zr 0.649 0.149 0.000
Zr 0.851 0.649 0.000
Sc 0.169 0.669 0.500
Sc 0.331 0.169 0.500
Sc 0.669 0.831 0.500
Sc 0.831 0.331 0.500
Re 0.000 0.000 0.000
Re 0.500 0.500 0.000

Output
- Distance to the lowest polymorph of the same formula: 0 kJ/mol of formula units
- Total moment: 0.00 μB per cell

No. 4
The following is a DFT calculation (GGA-PBE) of a relaxed structure of ZrSc2Re.

a = 3.040 Å, b = 4.650 Å, c = 5.814 Å
α = 90.00°, β = 104.81°, γ = 90.00°
Atoms (fractional coordinates):
Zr 0.000 0.000 0.000
Sc 0.328 0.500 0.729
Sc 0.672 0.500 0.271
Re 0.500 0.000 0.500

Output
- Distance to the lowest polymorph of the same formula: 43 kJ/mol of formula units
- Total moment: 0.00 μB per cell